Here is CrFeNiMo after structural relaxation from the Alexandria database. Energies are from PBE-GGA.

Lattice parameters (Å, degrees): 4.155 4.155 4.155 60.00 60.00 60.00
Fractional coordinates of all 4 atoms:
Ni: 0.000 0.000 0.000
Mo: 0.500 0.500 0.500
Fe: 0.750 0.750 0.750
Cr: 0.250 0.250 0.250

Calculated values
- total magnetic moment (μB/f.u.) = 3.96
- symmetry = F-43m, No. 216
- ΔE_f (eV/atom) = 0.153